PBE-GGA MnTlSi2, relaxed; E_form (uncorrected) = 0.413 eV/atom; energy above the most stable polymorph in this dataset = 281 meV per atom
1.0
4.400 0.000 0.000
0.000 4.400 0.000
2.200 2.200 8.198
Tl Mn Si
2 2 4
direct
0.000 0.000 0.000
0.750 0.250 0.500
0.500 0.500 0.000
0.250 0.750 0.500
0.504 0.125 0.250
0.246 0.625 0.250
0.875 0.754 0.750
0.375 0.496 0.750



PBE-GGA LaTb3Ho, relaxed; energy above the most stable polymorph in this dataset = 0 meV per atom
1.0
-1.001 6.017 -1.204
-2.026 -4.112 -8.324
-3.152 -2.023 8.763
Ho Tb La
2 6 2
direct
0.746 0.745 0.998
0.254 0.255 0.002
0.948 0.550 0.198
0.848 0.648 0.596
0.348 0.150 0.600
0.152 0.352 0.404
0.052 0.450 0.802
0.652 0.850 0.400
0.550 0.951 0.800
0.450 0.049 0.200



PBE-GGA Ce2MgTcN5, relaxed; E_form (uncorrected) = -0.800 eV/atom
1.0
3.429 0.000 0.000
-1.715 6.917 0.000
0.000 0.000 9.492
Ce N Tc Mg
4 10 2 2
direct
0.129 0.257 0.721
0.131 0.263 0.289
0.871 0.743 0.221
0.869 0.737 0.789
0.081 0.162 0.019
0.286 0.571 0.651
0.714 0.429 0.151
0.358 0.716 0.007
0.919 0.838 0.519
0.711 0.422 0.869
0.501 0.002 0.764
0.289 0.578 0.369
0.499 0.998 0.264
0.642 0.284 0.507
0.216 0.432 0.005
0.784 0.568 0.505
0.511 0.022 0.000
0.489 0.978 0.500



PBE-GGA LiTlPd2, relaxed; DFT total energy = -3.76 eV/atom
1.0
3.980 0.000 0.000
0.000 3.980 0.000
1.990 1.990 9.286
Tl Pd Li
2 4 2
direct
0.750 0.250 0.500
0.000 0.000 0.000
0.375 0.388 0.750
0.875 0.862 0.750
0.612 0.125 0.250
0.138 0.625 0.250
0.250 0.750 0.500
0.500 0.500 0.000



PBE-GGA Rb2Nd2SbS6, relaxed; E_form (uncorrected) = -1.337 eV/atom
1.0
-6.093 2.909 2.144
0.073 -4.075 -5.793
0.548 -5.966 5.676
Sb S Rb Nd
1 6 2 2
direct
0.000 0.000 0.500
0.937 0.621 0.311
0.753 0.753 0.688
0.063 0.379 0.689
0.247 0.247 0.312
0.621 0.937 0.311
0.379 0.063 0.689
0.169 0.831 0.000
0.831 0.169 0.000
0.333 0.667 0.500
0.667 0.333 0.500



PBE-GGA Pa3Ga3Tc2Ir, relaxed; DFT total energy = -8.03 eV/atom
1.0
-0.919 -0.780 -3.863
0.020 -6.868 1.383
-5.919 3.689 0.663
Ga Tc Ir Pa
3 2 1 3
direct
0.500 0.238 0.238
0.500 0.000 0.762
0.500 0.762 0.000
0.500 0.667 0.333
0.500 0.333 0.667
0.000 0.000 0.000
0.000 0.579 0.579
0.000 0.421 0.000
0.000 0.000 0.421



PBE-GGA TmCd6Ag5, relaxed; energy above the most stable polymorph in this dataset = 0 meV per atom
1.0
4.408 0.016 -1.285
-1.147 7.378 -3.844
-0.078 -0.661 7.929
Ag Tm Cd
5 1 6
direct
0.655 0.155 0.310
0.345 0.845 0.690
0.000 0.500 0.000
0.690 0.690 0.380
0.310 0.310 0.620
0.000 0.000 0.000
0.169 0.895 0.339
0.831 0.105 0.661
0.500 0.724 0.000
0.831 0.556 0.661
0.500 0.276 0.000
0.169 0.444 0.339



PBE-GGA ErScBeAg, relaxed; DFT total energy = -4.44 eV/atom
1.0
4.845 0.000 0.000
2.422 4.196 0.000
2.422 1.399 3.956
Ag Be Sc Er
1 1 1 1
direct
0.250 0.250 0.250
0.750 0.750 0.750
0.500 0.500 0.500
0.000 0.000 0.000



PBE-GGA RbNa2CrCl8, relaxed; E_form (uncorrected) = -1.229 eV/atom
1.0
-3.834 2.297 -4.672
2.365 -3.616 -3.584
-6.308 -6.254 2.098
Cl Cr Rb Na
8 1 1 2
direct
0.493 0.251 0.500
0.868 0.240 0.818
0.507 0.749 0.500
0.132 0.760 0.182
0.694 0.779 0.999
0.306 0.221 0.001
0.865 0.238 0.181
0.135 0.762 0.819
0.000 0.000 0.000
0.000 0.000 0.500
0.500 0.502 0.218
0.500 0.498 0.782



PBE-GGA ZnNiPt, relaxed; DFT total energy = -4.39 eV/atom
1.0
-3.806 0.946 -0.970
-1.379 -0.741 -3.725
-2.719 -2.928 -0.602
Ni Zn Pt
1 1 1
direct
0.750 0.750 0.750
0.500 0.500 0.500
0.000 0.000 0.000



PBE-GGA NaYHf, relaxed; energy above the most stable polymorph in this dataset = 129 meV per atom
1.0
-0.603 -2.386 2.142
3.037 -3.212 -2.724
8.109 2.862 5.667
Y Na Hf
2 2 2
direct
0.762 0.250 0.275
0.238 0.750 0.725
0.734 0.250 0.906
0.266 0.750 0.094
0.750 0.750 0.459
0.250 0.250 0.541



PBE-GGA YTmHgAu, relaxed; energy above the most stable polymorph in this dataset = 0 meV per atom
1.0
3.656 0.000 0.000
0.000 3.656 0.000
0.000 0.000 7.217
Y Au Hg Tm
1 1 1 1
direct
0.500 0.500 0.598
0.000 0.000 0.346
0.000 0.000 0.865
0.500 0.500 0.119



PBE-GGA Tb2Te3Pd, relaxed; E_form (uncorrected) = -1.203 eV/atom
1.0
4.336 0.000 0.000
0.000 11.929 0.000
0.000 0.000 12.526
Tb Te Pd
8 12 4
direct
0.250 0.690 0.464
0.250 0.810 0.964
0.250 0.981 0.294
0.750 0.190 0.036
0.750 0.310 0.536
0.750 0.019 0.706
0.250 0.519 0.794
0.750 0.481 0.206
0.750 0.325 0.809
0.250 0.825 0.691
0.250 0.063 0.887
0.250 0.437 0.387
0.250 0.675 0.191
0.750 0.937 0.113
0.750 0.563 0.613
0.750 0.619 0.958
0.250 0.381 0.042
0.750 0.175 0.309
0.750 0.881 0.458
0.250 0.119 0.542
0.750 0.753 0.789
0.250 0.247 0.211
0.250 0.253 0.711
0.750 0.747 0.289



PBE-GGA Mg8In6Ga, relaxed; DFT total energy = -2.11 eV/atom
1.0
-1.525 7.803 -2.514
-7.757 2.284 -2.037
-4.176 5.110 4.565
In Mg Ga
6 8 1
direct
0.618 0.935 0.179
0.382 0.065 0.821
0.935 0.268 0.179
0.732 0.382 0.821
0.268 0.618 0.179
0.065 0.732 0.821
0.221 0.889 0.351
0.539 0.221 0.351
0.670 0.670 0.991
0.330 0.330 0.009
0.889 0.539 0.351
0.461 0.779 0.649
0.111 0.461 0.649
0.779 0.111 0.649
0.000 0.000 0.000



PBE-GGA Ba2TlPdS, relaxed; E_form (uncorrected) = -0.227 eV/atom
1.0
-0.438 5.066 3.933
-3.329 2.079 -3.048
-4.753 -2.903 3.210
Pd S Tl Ba
1 1 1 2
direct
0.000 0.500 0.000
0.500 0.500 0.500
0.000 0.000 0.000
0.000 0.000 0.500
0.500 0.000 0.000



PBE-GGA BaCuTeO5, relaxed; E_form (uncorrected) = -1.373 eV/atom
1.0
-5.730 2.142 -0.451
1.614 -1.887 -5.609
-0.574 -6.295 4.101
O Ba Cu Te
10 2 2 2
direct
0.936 0.064 0.750
0.223 0.341 0.598
0.093 0.723 0.902
0.777 0.659 0.402
0.341 0.223 0.098
0.907 0.277 0.098
0.064 0.936 0.250
0.277 0.907 0.598
0.723 0.093 0.402
0.659 0.777 0.902
0.336 0.664 0.250
0.664 0.336 0.750
0.697 0.303 0.250
0.303 0.697 0.750
0.000 0.000 0.000
0.000 0.000 0.500



PBE-GGA CaAg2Rh, relaxed; energy above the most stable polymorph in this dataset = 142 meV per atom
1.0
-1.903 -3.728 2.562
2.034 0.517 2.263
-2.685 3.374 2.916
Ca Ag Rh
1 2 1
direct
0.500 0.250 0.250
0.000 0.939 0.979
0.000 0.561 0.521
0.500 0.750 0.750



PBE-GGA Pt5Pb4, relaxed; energy above the most stable polymorph in this dataset = 88 meV per atom
1.0
-1.681 -7.655 -3.200
-1.638 -6.488 5.185
-5.812 1.342 -0.157
Pb Pt
8 10
direct
0.000 0.000 0.500
0.000 0.356 0.750
0.356 0.644 0.750
0.000 0.000 0.000
0.356 0.000 0.250
0.000 0.644 0.250
0.644 0.000 0.750
0.644 0.356 0.250
0.667 0.667 0.500
0.323 0.677 0.250
0.677 0.000 0.250
0.667 0.667 0.000
0.000 0.323 0.250
0.677 0.323 0.750
0.333 0.333 0.000
0.323 0.000 0.750
0.000 0.677 0.750
0.333 0.333 0.500



PBE-GGA BaMg2Cd3, relaxed; DFT total energy = -1.53 eV/atom
1.0
-3.449 4.964 -1.227
-3.930 -1.184 6.256
5.480 4.430 2.517
Mg Cd Ba
4 6 2
direct
0.000 0.788 0.212
0.500 0.788 0.212
0.500 0.212 0.788
0.000 0.212 0.788
0.250 0.900 0.540
0.750 0.460 0.100
0.750 0.100 0.460
0.250 0.540 0.900
0.250 0.934 0.934
0.750 0.066 0.066
0.250 0.320 0.320
0.750 0.680 0.680



PBE-GGA La2MoRh, relaxed; energy above the most stable polymorph in this dataset = 93 meV per atom
1.0
6.603 0.192 0.016
5.555 3.575 0.016
1.660 0.514 4.393
Rh Mo La
1 1 2
direct
0.200 0.200 0.301
0.546 0.546 0.454
0.986 0.986 0.013
0.768 0.768 0.732